The following is a GGA-PBE calculation of a relaxed structure of LuAlCoCu, from the Open Quantum Materials Database.

Calculated values
Magnetic moment in μB per cell: 3.830
Calculated total energy in eV/atom: -4.753
Polymorph energy (0 for the lowest one) in meV/atom: 328

Unit cell a=6.3181 b=6.3181 c=6.3181 alpha=90.00 beta=90.00 gamma=90.00
Last column: nearest neighbours and their distance in Å.
Space group F-43m (No. 216)
One atom of each set of equivalent atoms:
Lu: 0.0000 0.0000 0.0000  4 Co 2.74, 4 Al 2.74
Al: 0.2500 0.2500 0.2500  4 Cu 2.74, 4 Lu 2.74
Co: 0.2500 0.2500 0.7500  4 Cu 2.74, 4 Lu 2.74
Cu: 0.0000 0.0000 0.5000  4 Co 2.74, 4 Al 2.74

***

The following is a GGA-PBE calculation of a relaxed structure of InCu2Pt, from the Open Quantum Materials Database.

Calculated values
Magnetic moment in μB per cell: 0.002
Calculated total energy in eV/atom: -4.225

Unit cell a=6.2466 b=6.2466 c=6.2466 alpha=90.00 beta=90.00 gamma=90.00
Last column: nearest neighbours and their distance in Å.
Space group F-43m (No. 216)
One atom of each set of equivalent atoms:
In: 0.0000 0.0000 0.0000  4 Pt 2.70, 4 Cu 2.70
Cu: 0.0000 0.0000 0.5000  4 Cu 2.70, 4 Pt 2.70
Cu: 0.2500 0.2500 0.7500  4 In 2.70, 4 Cu 2.70
Pt: 0.2500 0.2500 0.2500  4 In 2.70, 4 Cu 2.70

***

The following is a GGA-PBE calculation of a relaxed structure of FeAgBPd, from the Open Quantum Materials Database.

Calculated values
Magnetic moment in μB per cell: 10.472
Calculated total energy in eV/atom: -5.077
Polymorph energy (0 for the lowest one) in meV/atom: 0

Unit cell a=5.9375 b=5.9375 c=5.9375 alpha=90.00 beta=90.00 gamma=90.00
Last column: nearest neighbours and their distance in Å.
Space group F-43m (No. 216)
One atom of each set of equivalent atoms:
Fe: 0.0000 0.0000 0.0000  4 B 2.57, 4 Ag 2.57
Ag: 0.2500 0.2500 0.2500  4 Fe 2.57, 4 Pd 2.57
B: 0.2500 0.2500 0.7500  4 Fe 2.57, 4 Pd 2.57
Pd: 0.0000 0.0000 0.5000  4 B 2.57, 4 Ag 2.57

***

The following is a GGA-PBE calculation of a relaxed structure of ZnFeGeMo, from the Open Quantum Materials Database.

Calculated values
Magnetic moment in μB per cell: 7.290
Calculated total energy in eV/atom: -5.925
Polymorph energy (0 for the lowest one) in meV/atom: 132

Unit cell a=6.0403 b=6.0403 c=6.0403 alpha=90.00 beta=90.00 gamma=90.00
Last column: nearest neighbours and their distance in Å.
Space group F-43m (No. 216)
One atom of each set of equivalent atoms:
Zn: 0.0000 0.0000 0.0000  4 Mo 2.62, 4 Ge 2.62
Fe: 0.0000 0.0000 0.5000  4 Ge 2.62, 4 Mo 2.62
Ge: 0.2500 0.2500 0.2500  4 Fe 2.62, 4 Zn 2.62
Mo: 0.2500 0.2500 0.7500  4 Fe 2.62, 4 Zn 2.62

***

The following is a GGA-PBE calculation of a relaxed structure of NpHgBi, from the Open Quantum Materials Database.

Calculated values
Magnetic moment in μB per cell: 17.716
Calculated total energy in eV/atom: -5.411
Polymorph energy (0 for the lowest one) in meV/atom: 0

Unit cell a=7.2248 b=7.2248 c=7.2248 alpha=90.00 beta=90.00 gamma=90.00
Last column: nearest neighbours and their distance in Å.
Space group F-43m (No. 216)
One atom of each set of equivalent atoms:
Np: 0.0000 0.0000 0.0000  4 Hg 3.13
Hg: 0.2500 0.2500 0.7500  4 Bi 3.13, 4 Np 3.13
Bi: 0.0000 0.0000 0.5000  4 Hg 3.13

***

The following is a GGA-PBE calculation of a relaxed structure of ZnAg2Br4, from the Open Quantum Materials Database.

Calculated values
Calculated total energy in eV/atom: -2.526
Polymorph energy (0 for the lowest one) in meV/atom: 3

Unit cell a=6.0242 b=6.0242 c=12.1196 alpha=90.00 beta=90.00 gamma=90.00
Last column: nearest neighbours and their distance in Å.
Space group I-4 (No. 82)
One atom of each set of equivalent atoms:
Zn: 0.0000 0.0000 0.0000  4 Br 2.45
Ag: 0.0000 0.0000 0.5000  4 Br 2.74
Ag: 0.0000 0.5000 0.7500  4 Br 2.73
Br: 0.2170 0.7574 0.1217  1 Zn 2.45, 2 Ag 2.73-2.74

***

The following is a GGA-PBE calculation of a relaxed structure of LaGd2Cd3Ga2Au, from the Open Quantum Materials Database.

Calculated values
Magnetic moment in μB per cell: 0.025
Calculated total energy in eV/atom: -3.493

Unit cell a=4.4269 b=12.9903 c=7.4457 alpha=90.00 beta=90.00 gamma=90.00
Last column: nearest neighbours and their distance in Å.
Space group Amm2 (No. 38)
One atom of each set of equivalent atoms:
La: 0.0000 0.0000 0.0000  1 Au 3.12, 4 Ga 3.20, 2 Cd 3.34
Gd: 0.0000 0.2061 0.6184  1 Au 3.06, 4 Ga 3.14-3.15, 2 Cd 3.34
Cd: 0.5000 0.0000 0.6633  2 Au 2.86, 2 Ga 2.88
Cd: 0.5000 0.1276 0.2889  2 Ga 2.78-2.86, 2 Au 2.93
Ga: 0.5000 0.1703 0.9120  3 Cd 2.78-2.88
Au: 0.0000 0.0000 0.4194  6 Cd 2.86-2.93, 2 Gd 3.06, 1 La 3.12

***

The following is a GGA-PBE calculation of a relaxed structure of DyHoGa4Pt2, from the Open Quantum Materials Database.

Calculated values
Magnetic moment in μB per cell: 0.034
Calculated total energy in eV/atom: -5.104

Unit cell a=6.7330 b=4.3412 c=10.1758 alpha=90.00 beta=90.00 gamma=90.00
Last column: nearest neighbours and their distance in Å.
Space group Amm2 (No. 38)
One atom of each set of equivalent atoms:
Dy: 0.0000 0.0000 0.0000  3 Pt 2.92-3.07, 6 Ga 3.02-3.21
Ho: 0.5000 0.0000 0.1624  3 Pt 2.92-3.07, 6 Ga 3.02-3.20
Ga: 0.1984 0.0000 0.7133  3 Pt 2.62-2.66, 2 Ga 2.67-2.78
Ga: 0.3021 0.0000 0.4487  3 Pt 2.62-2.65, 2 Ga 2.67-2.78
Pt: 0.0000 0.0000 0.2869  6 Ga 2.62-2.66, 1 Dy 2.92
Pt: 0.5000 0.0000 0.8754  6 Ga 2.62-2.65, 1 Ho 2.92

***

The following is a GGA-PBE calculation of a relaxed structure of TePt9, from the Open Quantum Materials Database.

Calculated values
Magnetic moment in μB per cell: 0.014
Calculated total energy in eV/atom: -5.746
Polymorph energy (0 for the lowest one) in meV/atom: 0

Unit cell a=2.9534 b=3.8553 c=37.5858 alpha=90.00 beta=90.00 gamma=90.00
Last column: nearest neighbours and their distance in Å.
Space group Pmmn (No. 59, origin choice 2)
One atom of each set of equivalent atoms:
Te: 0.2500 0.2500 0.1491  5 Pt 2.75-2.81, 2 Te 2.95
Pt: 0.2500 0.2500 0.2237  11 Pt 2.77-2.95, 1 Te 2.81
Pt: 0.2500 0.2500 0.2974  12 Pt 2.77-2.95
Pt: 0.2500 0.2500 0.3713  12 Pt 2.77-2.95
Pt: 0.2500 0.2500 0.4449  12 Pt 2.76-2.95
Pt: 0.2500 0.2500 0.5185  12 Pt 2.76-2.95
Pt: 0.2500 0.2500 0.5919  12 Pt 2.76-2.95
Pt: 0.2500 0.2500 0.6652  12 Pt 2.76-2.95
Pt: 0.2500 0.2500 0.7389  12 Pt 2.77-2.95
Pt: 0.2500 0.2500 0.8166  4 Te 2.75, 7 Pt 2.86-2.95

***

The following is a GGA-PBE calculation of a relaxed structure of YZnFeBi, from the Open Quantum Materials Database.

Calculated values
Magnetic moment in μB per cell: 8.175
Calculated total energy in eV/atom: -4.938
Polymorph energy (0 for the lowest one) in meV/atom: 0

Unit cell a=6.9757 b=6.9757 c=6.9757 alpha=90.00 beta=90.00 gamma=90.00
Last column: nearest neighbours and their distance in Å.
Space group F-43m (No. 216)
One atom of each set of equivalent atoms:
Y: 0.0000 0.0000 0.0000  4 Zn 3.02, 4 Bi 3.02
Zn: 0.2500 0.2500 0.7500  4 Fe 3.02, 4 Y 3.02
Fe: 0.0000 0.0000 0.5000  4 Bi 3.02, 4 Zn 3.02
Bi: 0.2500 0.2500 0.2500  4 Fe 3.02, 4 Y 3.02

***

The following is a GGA-PBE calculation of a relaxed structure of DyErIn2Br2, from the Open Quantum Materials Database.

Calculated values
Magnetic moment in μB per cell: 0.007
Calculated total energy in eV/atom: -3.927

Unit cell a=4.3977 b=4.3977 c=10.8862 alpha=90.00 beta=90.00 gamma=120.00
Last column: nearest neighbours and their distance in Å.
Space group P3m1 (No. 156)
One atom of each set of equivalent atoms:
Dy: 0.0000 0.0000 0.0000  3 Br 3.02, 3 In 3.04
Er: 0.0000 0.0000 0.4077  3 Br 3.01, 3 In 3.03
In: 0.3333 0.6667 0.2558  3 In 2.77, 3 Er 3.03
In: 0.6667 0.3333 0.1543  3 In 2.77, 3 Dy 3.04
Br: 0.3333 0.6667 0.8498  3 Dy 3.02
Br: 0.6667 0.3333 0.5558  3 Er 3.01

***

The following is a GGA-PBE calculation of a relaxed structure of Ta3Pb5Au, from the Open Quantum Materials Database.

Calculated values
Magnetic moment in μB per cell: 0.007
Calculated total energy in eV/atom: -5.893

Unit cell a=5.7974 b=5.7974 c=8.0395 alpha=90.00 beta=90.00 gamma=120.00
Last column: nearest neighbours and their distance in Å.
Space group P6/mmm (No. 191)
One atom of each set of equivalent atoms:
Ta: 0.0000 0.5000 0.0000  4 Ta 2.90, 6 Pb 2.90-3.02
Pb: 0.0000 0.0000 0.0000  6 Ta 2.90
Pb: 0.3333 0.6667 0.3132  4 Pb 3.00-3.35, 3 Ta 3.02
Au: 0.0000 0.0000 0.5000  14 Pb 3.67-4.02